Compound: LaHfZn2Os
Source: Alexandria via LeMat-Bulk
Functional: GGA-PBE
Structure: relaxed

Structure (POSCAR):
```
LaHfZn2Os
1.0
-3.286 2.098 -3.016
-3.640 -2.238 2.408
-0.346 3.852 3.057
Hf Zn Os La
1 2 1 1
Direct
0.000 0.500 0.000 Hf
0.000 0.000 0.500 Zn
0.500 0.000 0.000 Zn
0.000 0.000 0.000 Os
0.500 0.500 0.500 La
```

Results
spin magnetization = 0.000 μB per formula unit
symmetry = P4/mmm, No. 123
ρ = 8.9 g cm⁻³
density of states at the Fermi level = 0.659 states/eV/atom
E_form = 6 kJ per mole of atoms